Here is crystalline Ge3Te12Au5 at its relaxed geometry from Alexandria. Energies are from PBE.

**VASP energy**: -3.255 eV per atom
**V**: 612.4 Å³/f.u.
**Energy relative to the elements, uncorrected**: 0.14 eV per atom
**DOS(E_F)**: 0.79 states/eV per atom

a = 16.984 Å, b = 16.984 Å, c = 16.984 Å
α = 90.00°, β = 90.00°, γ = 90.00°
Space group Ia-3d (No. 230)
One atom of each set of equivalent atoms:
Ge1 0.000 0.250 0.125 x24
Te1 0.017 0.065 0.652 x96
Au1 0.000 0.000 0.000 x16
Au2 0.000 0.250 0.375 x24